No. 1
First-principles (PBE) data for an optimized crystal structure of Nb6InW, as listed in Alexandria. Values from VASP.

Computed properties:
* DFT total energy: -9.536 eV per atom
* crystal system: tetragonal

Structure (Quantum ESPRESSO input):
```
&SYSTEM
  ibrav = 0, nat = 8, ntyp = 3
/
ATOMIC_SPECIES
Nb 92.91 Nb.upf
In 114.82 In.upf
W 183.84 W.upf
CELL_PARAMETERS angstrom
-2.7556 -1.2449 -1.4093
1.6966 -6.0830 2.0560
-3.3370 0.9815 5.6577
ATOMIC_POSITIONS angstrom
Nb -3.0463 -0.1317 2.1242
In -2.1980 -3.1732 3.1522
Nb -0.5295 -3.6640 0.3233
Nb -1.2519 -3.8932 5.8868
Nb -2.1448 -0.6916 4.8047
W -1.3778 -0.6224 -0.7047
Nb -0.3885 -1.2083 1.8269
Nb 0.5044 -4.4098 2.9090
```

***

No. 2
First-principles (PBE) data for an optimized crystal structure of Nb6InW, as listed in Alexandria. Values from VASP.

Computed properties:
* DFT total energy: -9.540 eV per atom
* crystal system: monoclinic

Structure (Quantum ESPRESSO input):
```
&SYSTEM
  ibrav = 0, nat = 8, ntyp = 3
/
ATOMIC_SPECIES
Nb 92.91 Nb.upf
W 183.84 W.upf
In 114.82 In.upf
CELL_PARAMETERS angstrom
-5.9859 1.4122 4.2198
-6.7406 -2.3380 -2.1909
-3.8155 -2.9386 2.1597
ATOMIC_POSITIONS angstrom
Nb -14.1096 -3.4486 2.6118
Nb -10.9342 -3.2488 2.0507
Nb -12.1831 -1.9401 4.7278
Nb -5.6079 -0.6156 2.1379
Nb -2.4324 -0.4158 1.5769
W 0.0000 0.0000 0.0000
Nb -4.3589 -1.9244 -0.5392
In -8.2710 -1.9322 2.0943
```

***

No. 3
First-principles (PBE) data for an optimized crystal structure of NbInW3, as listed in Alexandria. Values from VASP.

Computed properties:
* DFT total energy: -7.547 eV per atom
* crystal system: cubic

Structure (Quantum ESPRESSO input):
```
&SYSTEM
  ibrav = 0, nat = 5, ntyp = 3
/
ATOMIC_SPECIES
W 183.84 W.upf
Nb 92.91 Nb.upf
In 114.82 In.upf
CELL_PARAMETERS angstrom
-0.6286 -1.6259 -4.4835
-3.6282 -2.7721 1.5139
-3.0954 3.5795 -0.8641
ATOMIC_POSITIONS angstrom
W -0.3143 -0.8130 -2.2418
W -1.8141 -1.3861 0.7570
Nb -3.6761 -0.4093 -1.9168
W -1.5477 1.7897 -0.4320
In 0.0000 0.0000 0.0000
```